KBaAl2 GGA-PBE relaxed; ΔE to the lowest computed polymorph = 24.8 kJ/mol of atoms; mass density = 3.1 Mg/m³; space group = F-43m, No. 216; E_form = 0.238 eV per atom
1.0
-1.016 -0.516 -5.491
-2.634 -4.552 -1.949
-5.249 0.409 -1.931
Ba K Al
1 1 2
Cartesian
-4.449 -2.329 -4.686
-6.674 -3.493 -7.029
-2.225 -1.164 -2.343
0.000 0.000 0.000